(1)
A relaxed structure of TbCl, computed with PBE.

Cell: 4.4022 4.4022 4.4022 Å, 60.00 60.00 60.00°
Atoms (fractional coordinates):
Cl1 0.0000 0.0000 0.0000
Tb1 0.2500 0.2500 0.2500

Output
As for the magnetization: 0.00 μB/f.u. The total energy comes out at -8.242 eV per cell.

***

(2)
A relaxed structure of TbCl3, computed with PBE.

Cell: 7.3572 7.3572 4.0796 Å, 90.00 90.00 120.00°
Atoms (fractional coordinates):
Cl1 0.6981 0.0882 0.2500
Cl2 0.3900 0.3019 0.2500
Cl3 0.9118 0.6100 0.2500
Cl4 0.0882 0.3900 0.7500
Cl5 0.6100 0.6981 0.7500
Cl6 0.3019 0.9118 0.7500
Tb1 0.3333 0.6667 0.2500
Tb2 0.6667 0.3333 0.7500

Output
As for the magnetization: 0.00 μB/f.u. The total energy comes out at -38.249 eV per cell.

***

(3)
A relaxed structure of TbCl, computed with PBE.

Cell: 3.9482 3.9482 3.9482 Å, 60.00 60.00 60.00°
Atoms (fractional coordinates):
Cl1 0.0000 0.0000 0.0000
Tb1 0.5000 0.5000 0.5000

Output
As for the magnetization: 0.00 μB/f.u. The total energy comes out at -8.559 eV per cell.

***

Question: Which value of magnetization does entry 1 give?
Answer: 0.00 μB/f.u.

***

Question: Look up the magnetization of the first one.
Answer: 0.00 μB/f.u.